Entry 1:
# BaPuSe2F

Crystalline BaPuSe2F at its relaxed geometry (PBE, the Alexandria database).

The raw formation energy comes out at -1093 kJ/mol of formula units. The calculation puts the volume at 26.88 Å³ per atom.

It has space group P4/nmm (No. 129, origin choice 2), with a = 4.2559 Å, b = 4.2559 Å, c = 14.8412 Å, α = 90.00°, β = 90.00° and γ = 90.00°. The asymmetric unit holds Ba at (0.2500, 0.2500, 0.1083), Pu at (0.2500, 0.2500, 0.6071), Se at (0.2500, 0.2500, 0.4081), Se at (0.2500, 0.2500, 0.7885) and F at (0.2500, 0.7500, 0.0000).



Entry 2:
# Mg3Ga3CuRu2

Crystalline Mg3Ga3CuRu2 at its relaxed geometry (PBE, the Alexandria database).

The value obtained for the formation energy is -115 kJ/mol of formula units. The calculation puts the volume at 15.72 Å³ per atom.

It has space group P-62m (No. 189), with a = 7.3190 Å, b = 7.3190 Å, c = 3.0502 Å, α = 90.00°, β = 90.00° and γ = 120.00°. The asymmetric unit holds Mg at (0.0000, 0.7211, 0.0000), Ga at (0.0000, 0.3897, 0.5000), Cu at (0.0000, 0.0000, 0.5000) and Ru at (0.3333, 0.6667, 0.0000).



Entry 3:
# CeDyAgAu

Crystalline CeDyAgAu at its relaxed geometry (PBE, the Alexandria database).

The value obtained for the formation energy is -171 kJ/mol of formula units. The calculation puts the volume at 24.63 Å³ per atom. The value obtained for the distance to the lowest polymorph of the same formula is 0.09 eV per formula unit.

It has space group F-43m (No. 216), with a = 7.3319 Å, b = 7.3319 Å, c = 7.3319 Å, α = 90.00°, β = 90.00° and γ = 90.00°. The asymmetric unit holds Ce at (0.0000, 0.0000, 0.0000), Dy at (0.0000, 0.0000, 0.5000), Ag at (0.2500, 0.2500, 0.7500) and Au at (0.2500, 0.2500, 0.2500).



Entry 4:
# Li2ZnCo

Crystalline Li2ZnCo at its relaxed geometry (PBE, the Alexandria database).

The value obtained for the formation energy is 20 kJ/mol of formula units. The calculation puts the volume at 14.02 Å³ per atom.

It has space group Cmm2 (No. 35), with a = 3.6859 Å, b = 3.6968 Å, c = 8.2290 Å, α = 90.00°, β = 90.00° and γ = 90.00°. The asymmetric unit holds Li at (0.0000, 0.0000, 0.0000), Li at (0.0000, 0.5000, 0.3037), Zn at (0.0000, 0.0000, 0.5494) and Co at (0.0000, 0.5000, 0.7689).



Entry 5:
# Sc2Ni7

Crystalline Sc2Ni7 at its relaxed geometry (PBE, the Alexandria database).

The value obtained for the formation energy is -337 kJ/mol of formula units. The calculation puts the volume at 13.15 Å³ per atom.

It has space group R-3m (No. 166, hexagonal axes), with a = 4.7982 Å, b = 4.7982 Å, c = 35.6052 Å, α = 90.00°, β = 90.00° and γ = 120.00°. The asymmetric unit holds Sc at (0.0000, 0.0000, 0.0504), Sc at (0.0000, 0.0000, 0.1475), Ni at (0.0000, 0.0000, 0.2776), Ni at (0.0000, 0.0000, 0.3892), Ni at (0.0000, 0.0000, 0.5000), Ni at (0.0000, 0.5000, 0.0000) and Ni at (0.0027, 0.5013, 0.8886).



Entry 6:
# TaSbSe2N

Crystalline TaSbSe2N at its relaxed geometry (PBE, the Alexandria database).

The raw formation energy comes out at 585 kJ/mol of formula units. The calculation puts the volume at 21.58 Å³ per atom. The value obtained for the distance to the lowest polymorph of the same formula is 6.21 eV per formula unit.

It has space group P4/mmm (No. 123), with a = 5.3235 Å, b = 5.3235 Å, c = 3.8078 Å, α = 90.00°, β = 90.00° and γ = 90.00°. The asymmetric unit holds Ta at (0.0000, 0.0000, 0.0000), Sb at (0.5000, 0.5000, 0.5000), Se at (0.0000, 0.5000, 0.5000) and N at (0.5000, 0.5000, 0.0000).



Number 1: magnetic moment 5.00 μB/f.u.. Number 2: magnetic moment 0.00 μB/f.u.. Number 3: magnetic moment 0.98 μB/f.u.. Number 4: magnetic moment 1.26 μB/f.u.. Number 5: magnetic moment 1.36 μB/f.u.. Number 6: magnetic moment 2.50 μB/f.u..